No. 1
## La2ReIr (GGA-PBEsol)

Data for a geometry-optimized La2ReIr structure.

Cell lengths 5.7296, 5.7296, 5.7296 Å; angles 137.46, 137.46, 61.73 degrees
Closest atoms and distances in Å follow each position.
Sites, in units of the cell vectors:
La (0.0000, 0.0000, 0.0000)  4 Re 2.94, 4 La 3.22, 4 Ir 3.22
La (0.7500, 0.2500, 0.5000)  4 Ir 2.94, 4 La 3.22, 4 Re 3.22
Re (0.5000, 0.5000, 0.0000)  8 La 2.94-3.22, 4 Ir 3.22
Ir (0.2500, 0.7500, 0.5000)  8 La 2.94-3.22, 4 Re 3.22

The calculation puts the density of states at the Fermi level at 5.85 states/eV/cell. For the total energy, the calculation gives -32.60 eV/f.u. The size of the total moment comes out at 0.000 μB per atom. The calculation puts the calculated formation energy at 0.3127 eV per atom.

No. 2
## LiMoAsO6 (GGA-PBEsol)

Data for a geometry-optimized LiMoAsO6 structure.

Cell lengths 5.1323, 8.5403, 10.3118 Å; angles 90.00, 94.49, 90.00 degrees
Closest atoms and distances in Å follow each position.
Sites, in units of the cell vectors:
Li (0.0098, 0.0000, 0.3821)  4 O 1.96-2.07
Li (0.3058, 0.6758, 0.8939)  4 O 1.94-2.05
Li (0.6942, 0.1758, 0.1061)  4 O 1.94-2.05
Li (0.9902, 0.5000, 0.6179)  4 O 1.96-2.07
Mo (0.1158, 0.3509, 0.3378)  2 O 1.68-1.73
Mo (0.3209, 0.8374, 0.1527)  2 O 1.71
Mo (0.6791, 0.3374, 0.8473)  2 O 1.71
Mo (0.8842, 0.8509, 0.6622)  2 O 1.68-1.73
As (0.1574, 0.0715, 0.8908)  4 O 1.69-1.73
As (0.3779, 0.6989, 0.4617)  4 O 1.69-1.72
As (0.6221, 0.1989, 0.5383)  4 O 1.69-1.72
As (0.8426, 0.5715, 0.1092)  4 O 1.69-1.73
O (0.0356, 0.8763, 0.2223)  1 Mo 1.71
O (0.0711, 0.6983, 0.7299)  1 Mo 1.73
O (0.1108, 0.0231, 0.7274)  1 As 1.73
O (0.1343, 0.6321, 0.0608)  1 As 1.70
O (0.1720, 0.8426, 0.5016)  1 As 1.69
O (0.2283, 0.8940, 0.9648)  1 As 1.72
O (0.2479, 0.5164, 0.4837)  1 As 1.72
O (0.3218, 0.1987, 0.4514)  1 As 1.72
O (0.3466, 0.3780, 0.2330)  1 Mo 1.68
O (0.3894, 0.2073, 0.9321)  1 As 1.69
O (0.4605, 0.7187, 0.3043)  1 As 1.72
O (0.4872, 0.0097, 0.1745)  1 Mo 1.71
O (0.5128, 0.5097, 0.8255)  1 Mo 1.71
O (0.5395, 0.2187, 0.6957)  1 As 1.72
O (0.6106, 0.7073, 0.0679)  1 As 1.69
O (0.6534, 0.8780, 0.7670)  1 Mo 1.68
O (0.6782, 0.6987, 0.5486)  1 As 1.72
O (0.7521, 0.0164, 0.5163)  1 As 1.72
O (0.7717, 0.3940, 0.0352)  1 As 1.72
O (0.8280, 0.3426, 0.4984)  1 As 1.69
O (0.8657, 0.1321, 0.9392)  1 As 1.70
O (0.8892, 0.5231, 0.2726)  1 As 1.73
O (0.9289, 0.1983, 0.2701)  1 Mo 1.73
O (0.9644, 0.3763, 0.7777)  1 Mo 1.71

The calculation puts the density of states at the Fermi level at 0.00 states/eV/cell. For the total energy, the calculation gives -65.74 eV/f.u. The size of the total moment comes out at 0.000 μB per atom. Its uncorrected formation energy is -1.712 eV per atom.

No. 3
## CaTaSe2 (GGA-PBEsol)

Data for a geometry-optimized CaTaSe2 structure.

Cell lengths 8.7513, 8.7513, 8.7513 Å; angles 24.59, 24.59, 24.59 degrees
Closest atoms and distances in Å follow each position.
Sites, in units of the cell vectors:
Ca (0.0000, 0.0000, 0.0000)  6 Se 2.82
Ta (0.5000, 0.5000, 0.5000)  2 Se 2.42
Se (0.4049, 0.4049, 0.4049)  1 Ta 2.42
Se (0.5951, 0.5951, 0.5951)  1 Ta 2.42

The calculation puts the density of states at the Fermi level at 2.50 states/eV/cell. For the total energy, the calculation gives -23.57 eV/f.u. The size of the total moment comes out at 0.203 μB per atom. Its uncorrected formation energy is -0.297 eV per atom.

Q: Among the records above, which one has the lowest density of states at the Fermi level?
A: LiMoAsO6

Q: size of the total moment of number 1 (La2ReIr)?
A: 0.000 μB per atom